! Cs3TbGa2S6, relaxed, DFT PBE-GGA; values from VASP
! - SG = P-3m1, No. 164
! - E_form (uncorrected) (kJ/mol of atoms) = -113.2
! - N(E_F) (states/eV per cell) = 0.0
&SYSTEM
  ibrav = 0, nat = 12, ntyp = 4
/
ATOMIC_SPECIES
Tb 158.93 Tb.upf
Cs 132.91 Cs.upf
S 32.06 S.upf
Ga 69.72 Ga.upf
ATOMIC_POSITIONS angstrom
Tb -2.899 -3.382 1.336
Cs -4.210 -1.101 -2.589
Cs 0.000 0.000 0.000
Cs -3.491 -6.835 -1.835
S -2.431 -3.654 -4.634
S 0.484 -5.550 -3.114
S -5.271 -4.283 0.211
S -6.242 -4.880 -3.409
S -8.185 -2.386 -1.310
S -1.459 -3.056 -1.015
Ga -1.205 -4.168 -2.889
Ga -6.496 -3.768 -1.535
CELL_PARAMETERS angstrom
-5.713 3.719 -2.981
3.809 -4.890 -4.115
-5.797 -6.764 2.673